Entry from the Alexandria database: an optimized crystal structure of SiNiPb2 (GGA-PBE).

a b c (Å): 5.157 5.157 5.157
angles (deg): 129.49 121.36 81.01
Atoms (fractional coordinates):
Ni  0.250  0.750  0.500
Pb  0.014  0.014  0.000
Pb  0.486  0.486  0.000
Si  0.750  0.250  0.500

* VASP energy: -4.151 eV/atom
* ΔE_f (raw): 504 meV per atom
* crystal system: orthorhombic
* space-group type: Immm
* energy relative to the lowest polymorph listed for this composition: 0.572 eV/atom